Entry 1:
Entry from Alexandria: crystalline Sr2TaO2 at its relaxed geometry (PBE).

The structure in POSCAR format:
```
Sr2TaO2
1.0
4.5278 0.0000 0.0000
0.0000 4.5278 0.0000
0.0000 0.0000 11.3706
Sr Ta O
4 2 4
direct
0.0000 0.0000 0.1743
0.0000 0.0000 0.8257
0.5000 0.5000 0.3257
0.5000 0.5000 0.6743
0.0000 0.0000 0.5000
0.5000 0.5000 0.0000
0.0000 0.5000 0.2500
0.0000 0.5000 0.7500
0.5000 0.0000 0.2500
0.5000 0.0000 0.7500
```

- Calculated volume: 116.6 Å³/f.u.
- Size of the total moment: 3.2 μB per formula unit
- Crystal system: tetragonal
- Mass density: 5.5 g cm⁻³
- Raw formation energy: -0.585 eV/atom

---

Entry 2:
Entry from Alexandria: crystalline Sr2TaO2 at its relaxed geometry (PBE).

The structure in POSCAR format:
```
Sr2TaO2
1.0
7.8048 0.0000 0.0000
0.0000 7.8048 0.0000
0.0000 0.0000 3.0755
Sr Ta O
4 2 4
direct
0.1403 0.3597 0.0000
0.3597 0.8597 0.0000
0.6403 0.1403 0.0000
0.8597 0.6403 0.0000
0.0000 0.0000 0.0000
0.5000 0.5000 0.0000
0.1466 0.6466 0.5000
0.3534 0.1466 0.5000
0.6466 0.8534 0.5000
0.8534 0.3534 0.5000
```

- Calculated volume: 93.7 Å³/f.u.
- Size of the total moment: 3.0 μB per formula unit
- Crystal system: tetragonal
- Mass density: 6.9 g cm⁻³
- Raw formation energy: -0.352 eV/atom

---

Entry 3:
Entry from Alexandria: crystalline SrTa2O at its relaxed geometry (PBE).

The structure in POSCAR format:
```
SrTa2O
1.0
0.0000 4.5804 4.5804
4.5804 0.0000 4.5804
4.5804 4.5804 0.0000
Sr Ta O
2 4 2
direct
0.1250 0.1250 0.1250
0.8750 0.8750 0.8750
0.0000 0.5000 0.5000
0.5000 0.0000 0.5000
0.5000 0.5000 0.0000
0.5000 0.5000 0.5000
0.3750 0.3750 0.3750
0.6250 0.6250 0.6250
```

- Calculated volume: 96.1 Å³/f.u.
- Size of the total moment: 0.0 μB per formula unit
- Crystal system: cubic
- Mass density: 8.0 g cm⁻³
- Raw formation energy: -0.262 eV/atom

---

Entry 4:
Entry from Alexandria: crystalline SrTa2O6 at its relaxed geometry (PBE).

The structure in POSCAR format:
```
SrTa2O6
1.0
5.3581 0.0000 0.0000
-2.6791 4.6403 0.0000
0.0000 0.0000 5.3755
Sr Ta O
1 2 6
direct
0.0000 0.0000 0.0000
0.3333 0.6667 0.5000
0.6667 0.3333 0.5000
0.0000 0.3809 0.7058
0.0000 0.6191 0.2942
0.3809 0.0000 0.7058
0.3809 0.3809 0.2942
0.6191 0.0000 0.2942
0.6191 0.6191 0.7058
```

- Calculated volume: 133.7 Å³/f.u.
- Size of the total moment: 0.0 μB per formula unit
- Crystal system: trigonal
- Mass density: 6.8 g cm⁻³
- Raw formation energy: -3.011 eV/atom

---

Entry 5:
Entry from Alexandria: crystalline Sr2Ta3O10 at its relaxed geometry (PBE).

The structure in POSCAR format:
```
Sr2Ta3O10
1.0
9.3382 -3.0508 0.0000
9.3382 3.0508 0.0000
-3.0265 0.0000 7.2679
Sr Ta O
4 6 20
direct
0.1065 0.1065 0.1866
0.2156 0.2156 0.8481
0.7844 0.7844 0.1519
0.8935 0.8935 0.8134
0.2433 0.7567 0.5000
0.3152 0.3152 0.4706
0.4186 0.4186 0.0269
0.5814 0.5814 0.9731
0.6848 0.6848 0.5294
0.7567 0.2433 0.5000
0.0000 0.5000 0.5000
0.0157 0.0157 0.6751
0.1165 0.5899 0.0311
0.1572 0.6237 0.4697
0.2568 0.2568 0.2161
0.2827 0.7173 0.0000
0.3629 0.3629 0.7545
0.3763 0.8428 0.5303
0.4101 0.8835 0.9689
0.4766 0.4766 0.3151
0.5000 0.0000 0.5000
0.5234 0.5234 0.6849
0.5899 0.1165 0.0311
0.6237 0.1572 0.4697
0.6371 0.6371 0.2455
0.7173 0.2827 0.0000
0.7432 0.7432 0.7839
0.8428 0.3763 0.5303
0.8835 0.4101 0.9689
0.9843 0.9843 0.3249
```

- Calculated volume: 207.1 Å³/f.u.
- Size of the total moment: 1.1 μB per formula unit
- Crystal system: monoclinic
- Mass density: 7.0 g cm⁻³
- Raw formation energy: -2.784 eV/atom

---

Entry 6:
Entry from Alexandria: crystalline Sr3Ta2O8 at its relaxed geometry (PBE).

The structure in POSCAR format:
```
Sr3Ta2O8
1.0
3.0197 1.7434 6.7125
-3.0197 1.7434 6.7125
0.0000 -3.4868 6.7125
Sr Ta O
3 2 8
direct
0.0000 0.0000 0.0000
0.1932 0.1932 0.1932
0.8068 0.8068 0.8068
0.4038 0.4038 0.4038
0.5962 0.5962 0.5962
0.2268 0.7362 0.7362
0.2638 0.2638 0.7732
0.2638 0.7732 0.2638
0.3121 0.3121 0.3121
0.6879 0.6879 0.6879
0.7362 0.2268 0.7362
0.7362 0.7362 0.2268
0.7732 0.2638 0.2638
```

- Calculated volume: 212.0 Å³/f.u.
- Size of the total moment: 0.0 μB per formula unit
- Crystal system: trigonal
- Mass density: 5.9 g cm⁻³
- Raw formation energy: -2.966 eV/atom

---

Entry 7:
Entry from Alexandria: crystalline Sr2TaO5 at its relaxed geometry (PBE).

The structure in POSCAR format:
```
Sr2TaO5
1.0
5.7764 0.0000 0.0000
0.0000 5.7764 0.0000
0.0000 0.0000 3.9051
Sr Ta O
2 1 5
direct
0.0000 0.5000 0.0000
0.5000 0.0000 0.0000
0.0000 0.0000 0.5000
0.0000 0.0000 0.0000
0.2426 0.2426 0.5000
0.2426 0.7574 0.5000
0.7574 0.2426 0.5000
0.7574 0.7574 0.5000
```

- Calculated volume: 130.3 Å³/f.u.
- Size of the total moment: 1.0 μB per formula unit
- Crystal system: tetragonal
- Mass density: 5.6 g cm⁻³
- Raw formation energy: -2.574 eV/atom

---

Entry 8:
Entry from Alexandria: crystalline SrTaTc2O8 at its relaxed geometry (PBE).

The structure in POSCAR format:
```
SrTaTc2O8
1.0
3.3773 -3.5192 0.0000
3.3773 3.5192 0.0000
0.0000 0.0000 6.4438
Sr Ta Tc O
1 1 2 8
direct
0.0000 0.0000 0.0000
0.0000 0.0000 0.5000
0.5000 0.5000 0.2565
0.5000 0.5000 0.7435
0.2156 0.2156 0.2927
0.2156 0.2156 0.7073
0.2946 0.7054 0.5000
0.3420 0.6580 0.0000
0.6580 0.3420 0.0000
0.7054 0.2946 0.5000
0.7844 0.7844 0.2927
0.7844 0.7844 0.7073
```

- Calculated volume: 153.2 Å³/f.u.
- Size of the total moment: 0.0 μB per formula unit
- Crystal system: orthorhombic
- Mass density: 6.4 g cm⁻³
- Raw formation energy: -1.959 eV/atom

---

Entry 9:
Entry from Alexandria: crystalline SrTaTeO5 at its relaxed geometry (PBE).

The structure in POSCAR format:
```
SrTaTeO5
1.0
4.0962 -5.0518 0.0000
4.0962 5.0518 0.0000
-2.8332 0.0000 5.8190
Sr Ta Te O
2 2 2 10
direct
0.0893 0.9107 0.7500
0.9107 0.0893 0.2500
0.0000 0.5000 0.0000
0.5000 0.0000 0.5000
0.4559 0.5441 0.7500
0.5441 0.4559 0.2500
0.1488 0.5385 0.7676
0.1505 0.2738 0.0608
0.2603 0.7397 0.2500
0.2738 0.1505 0.5608
0.4615 0.8512 0.7324
0.5385 0.1488 0.2676
0.7262 0.8495 0.4392
0.7397 0.2603 0.7500
0.8495 0.7262 0.9392
0.8512 0.4615 0.2324
```

- Calculated volume: 120.4 Å³/f.u.
- Size of the total moment: 0.0 μB per formula unit
- Crystal system: monoclinic
- Mass density: 6.6 g cm⁻³
- Raw formation energy: -2.285 eV/atom

---

Entry 10:
Entry from Alexandria: crystalline SrTaTeO6 at its relaxed geometry (PBE).

The structure in POSCAR format:
```
SrTaTeO6
1.0
5.4600 0.0000 0.0000
-2.7300 4.7285 0.0000
0.0000 0.0000 10.7311
Sr Ta Te O
2 2 2 12
direct
0.0000 0.0000 0.0000
0.0000 0.0000 0.5000
0.3333 0.6667 0.2500
0.6667 0.3333 0.7500
0.3333 0.6667 0.7500
0.6667 0.3333 0.2500
0.0061 0.3861 0.1451
0.0061 0.6200 0.3549
0.3800 0.3861 0.3549
0.3800 0.9939 0.1451
0.3861 0.0061 0.6451
0.3861 0.3800 0.8549
0.6139 0.6200 0.1451
0.6139 0.9939 0.3549
0.6200 0.0061 0.8549
0.6200 0.6139 0.6451
0.9939 0.3800 0.6451
0.9939 0.6139 0.8549
```

- Calculated volume: 138.5 Å³/f.u.
- Size of the total moment: 0.0 μB per formula unit
- Crystal system: trigonal
- Mass density: 5.9 g cm⁻³
- Raw formation energy: -2.199 eV/atom

---

Entry 11:
Entry from Alexandria: crystalline SrTaTiO6 at its relaxed geometry (PBE).

The structure in POSCAR format:
```
SrTaTiO6
1.0
5.0013 0.0000 0.0000
0.0000 5.0013 0.0000
0.0000 0.0000 9.7250
Sr Ta Ti O
2 2 2 12
direct
0.0000 0.0000 0.0000
0.5000 0.5000 0.5000
0.0000 0.0000 0.3405
0.5000 0.5000 0.8405
0.0000 0.0000 0.6647
0.5000 0.5000 0.1647
0.1673 0.1673 0.5058
0.2259 0.2259 0.7970
0.2279 0.2279 0.2117
0.2721 0.7279 0.7117
0.2741 0.7259 0.2970
0.3327 0.6673 0.0058
0.6673 0.3327 0.0058
0.7259 0.2741 0.2970
0.7279 0.2721 0.7117
0.7721 0.7721 0.2117
0.7741 0.7741 0.7970
0.8327 0.8327 0.5058
```

- Calculated volume: 121.6 Å³/f.u.
- Size of the total moment: 1.0 μB per formula unit
- Crystal system: tetragonal
- Mass density: 5.6 g cm⁻³
- Raw formation energy: -2.681 eV/atom

---

Entry 12:
Entry from Alexandria: crystalline Sr2TaTiO6 at its relaxed geometry (PBE).

The structure in POSCAR format:
```
Sr2TaTiO6
1.0
4.0138 0.0000 0.0000
0.0000 4.0138 0.0000
0.0000 0.0000 8.0416
Sr Ta Ti O
2 1 1 6
direct
0.0000 0.0000 0.2296
0.0000 0.0000 0.7704
0.5000 0.5000 0.5000
0.5000 0.5000 0.0000
0.0000 0.5000 0.0000
0.0000 0.5000 0.5000
0.5000 0.0000 0.0000
0.5000 0.0000 0.5000
0.5000 0.5000 0.2515
0.5000 0.5000 0.7485
```

- Calculated volume: 129.6 Å³/f.u.
- Size of the total moment: 0.5 μB per formula unit
- Crystal system: tetragonal
- Mass density: 6.4 g cm⁻³
- Raw formation energy: -3.040 eV/atom